Record 1
A plane-wave DFT calculation with PBE-GGA was carried out for an optimized crystal structure of AlI3.

Values from the calculation:
Energy relative to the elements, uncorrected (eV per atom): -0.534

a b c (Å): 8.5072 8.7825 8.7825
angles (deg): 115.69 90.00 90.00
With the nearest neighbours (Å) after each atom.
Element x y z (fractional)
I 0.7500 0.8353 0.6228  1 Al 2.47
I 0.7500 0.8556 0.1444  1 Al 2.47
I 0.2500 0.1647 0.3772  1 Al 2.47
I 0.7500 0.3772 0.1647  1 Al 2.47
I 0.2500 0.1444 0.8556  1 Al 2.47
I 0.2500 0.6228 0.8353  1 Al 2.47
Al 0.2500 0.3107 0.6893  3 I 2.47
Al 0.7500 0.6893 0.3107  3 I 2.47



Record 2
A plane-wave DFT calculation with PBE-GGA was carried out for an optimized crystal structure of AlI3.

Values from the calculation:
Energy relative to the elements, uncorrected (eV per atom): -0.119

a b c (Å): 8.3082 8.3082 7.4211
angles (deg): 55.96 55.96 90.00
With the nearest neighbours (Å) after each atom.
Element x y z (fractional)
I 0.0000 0.0000 0.0000  4 I 3.72
I 0.8750 0.7799 0.7500  2 Al 2.69
I 0.5299 0.1250 0.2500  2 Al 2.69
I 0.7500 0.2500 0.5000  4 I 3.72
I 0.2201 0.6250 0.2500  2 Al 2.69
I 0.3750 0.4701 0.7500  2 Al 2.69
Al 0.2500 0.7500 0.5000  4 I 2.69
Al 0.5000 0.5000 0.0000  4 I 2.69



Record 3
A plane-wave DFT calculation with PBE-GGA was carried out for an optimized crystal structure of AlI4.

Values from the calculation:
Energy relative to the elements, uncorrected (eV per atom): -0.388
Energy above the lowest structure with this stoichiometry (meV per atom): 59.7

a b c (Å): 9.2041 9.2040 5.7716
angles (deg): 90.00 90.00 90.00
With the nearest neighbours (Å) after each atom.
Element x y z (fractional)
Al 0.5000 0.5000 0.5000  4 I 2.56
Al 0.0000 0.0000 0.0000  4 I 2.56
I 0.4982 0.7303 0.2511  1 Al 2.56
I 0.2697 0.4982 0.7489  1 Al 2.56
I 0.5018 0.2697 0.2511  1 Al 2.56
I 0.9982 0.7697 0.2489  1 Al 2.56
I 0.7303 0.5018 0.7489  1 Al 2.56
I 0.7697 0.0018 0.7511  1 Al 2.56
I 0.0018 0.2303 0.2489  1 Al 2.56
I 0.2303 0.9982 0.7511  1 Al 2.56



Record 4
A plane-wave DFT calculation with PBE-GGA was carried out for an optimized crystal structure of AlI.

Values from the calculation:
Energy relative to the elements, uncorrected (eV per atom): 0.122

a b c (Å): 5.6575 5.6575 6.5610
angles (deg): 90.00 90.00 120.00
With the nearest neighbours (Å) after each atom.
Element x y z (fractional)
I 0.6667 0.3333 0.2500  5 Al 3.27-3.28
I 0.3333 0.6667 0.7500  5 Al 3.27-3.28
Al 0.3333 0.6667 0.2500  5 I 3.27-3.28
Al 0.6667 0.3333 0.7500  5 I 3.27-3.28



Record 5
A plane-wave DFT calculation with PBE-GGA was carried out for an optimized crystal structure of Al4I.

Values from the calculation:
Energy relative to the elements, uncorrected (eV per atom): 1.269

a b c (Å): 5.6979 5.6979 5.6979
angles (deg): 90.00 90.00 90.00
With the nearest neighbours (Å) after each atom.
Element x y z (fractional)
Al 0.5000 0.5000 0.0000  2 I 2.85
Al 0.5000 0.0000 0.5000  2 I 2.85
Al 0.0000 0.0000 0.0000  12 Al 4.03
Al 0.0000 0.5000 0.5000  2 I 2.85
I 0.5000 0.5000 0.5000  6 Al 2.85



Record 6
A plane-wave DFT calculation with PBE-GGA was carried out for an optimized crystal structure of AlI3.

Values from the calculation:
Energy relative to the elements, uncorrected (eV per atom): 0.358

a b c (Å): 5.7266 5.7266 5.7266
angles (deg): 60.00 60.00 60.00
With the nearest neighbours (Å) after each atom.
Element x y z (fractional)
I 0.7500 0.7500 0.7500  4 Al 3.51, 4 I 3.51
I 0.5000 0.5000 0.5000  8 I 3.51
I 0.2500 0.2500 0.2500  4 I 3.51, 4 Al 3.51
Al 0.0000 0.0000 0.0000  8 I 3.51



Record 7
A plane-wave DFT calculation with PBE-GGA was carried out for an optimized crystal structure of AlI.

Values from the calculation:
Energy relative to the elements, uncorrected (eV per atom): -0.043

a b c (Å): 10.0628 10.0628 5.9326
angles (deg): 90.00 90.00 90.00
With the nearest neighbours (Å) after each atom.
Element x y z (fractional)
I 0.3635 0.7322 0.5000  1 Al 2.72
I 0.6365 0.2678 0.5000  1 Al 2.72
I 0.7322 0.6365 0.5000  1 Al 2.72
I 0.1365 0.7678 0.0000  1 Al 2.72
I 0.8635 0.2322 0.0000  1 Al 2.72
I 0.2322 0.1365 0.0000  1 Al 2.72
I 0.7678 0.8635 0.0000  1 Al 2.72
I 0.2678 0.3635 0.5000  1 Al 2.72
Al 0.6375 0.6264 0.0000  2 Al 2.66, 1 I 2.72
Al 0.8625 0.8736 0.5000  2 Al 2.66, 1 I 2.72
Al 0.1264 0.8625 0.5000  2 Al 2.66, 1 I 2.72
Al 0.3736 0.6375 0.0000  2 Al 2.66, 1 I 2.72
Al 0.6264 0.3625 0.0000  2 Al 2.66, 1 I 2.72
Al 0.1375 0.1264 0.5000  2 Al 2.66, 1 I 2.72
Al 0.3625 0.3736 0.0000  2 Al 2.66, 1 I 2.72
Al 0.8736 0.1375 0.5000  2 Al 2.66, 1 I 2.72



Record 8
A plane-wave DFT calculation with PBE-GGA was carried out for an optimized crystal structure of AlI.

Values from the calculation:
Energy relative to the elements, uncorrected (eV per atom): 0.021

a b c (Å): 5.1891 17.8619 11.2682
angles (deg): 90.00 90.00 90.00
With the nearest neighbours (Å) after each atom.
Element x y z (fractional)
Al 0.0050 0.2500 0.2500  2 Al 2.54-2.65
Al 0.5050 0.2500 0.7500  2 Al 2.54-2.65
Al 0.5050 0.7500 0.2500  2 Al 2.54-2.65
Al 0.9950 0.2500 0.7500  2 Al 2.54-2.65
Al 0.7550 0.5000 0.0000  2 Al 2.54-2.65
Al 0.7450 0.5000 0.5000  2 Al 2.54-2.65
Al 0.2450 0.0000 0.5000  2 Al 2.54-2.65
Al 0.2450 0.5000 0.0000  2 Al 2.54-2.65
Al 0.7450 0.0000 0.0000  2 Al 2.54-2.65
Al 0.7550 0.0000 0.5000  2 Al 2.54-2.65
Al 0.0050 0.7500 0.7500  2 Al 2.54-2.65
Al 0.4950 0.7500 0.7500  2 Al 2.54-2.65
Al 0.2550 0.5000 0.5000  2 Al 2.54-2.65
Al 0.9950 0.7500 0.2500  2 Al 2.54-2.65
Al 0.2550 0.0000 0.0000  2 Al 2.54-2.65
Al 0.4950 0.2500 0.2500  2 Al 2.54-2.65
I 0.0000 0.6749 0.0000  4 Al 3.12-3.37
I 0.5000 0.3251 0.5000  4 Al 3.12-3.37
I 0.7500 0.5751 0.2500  4 Al 3.12-3.37
I 0.7500 0.4249 0.7500  4 Al 3.12-3.37
I 0.7500 0.9249 0.2500  4 Al 3.12-3.37
I 0.2500 0.0751 0.2500  4 Al 3.12-3.37
I 0.2500 0.5751 0.7500  4 Al 3.12-3.37
I 0.0000 0.3251 0.0000  4 Al 3.12-3.37
I 0.0000 0.8251 0.5000  4 Al 3.12-3.37
I 0.5000 0.8251 0.0000  4 Al 3.12-3.37
I 0.2500 0.9249 0.7500  4 Al 3.12-3.37
I 0.0000 0.1749 0.5000  4 Al 3.12-3.37
I 0.5000 0.6749 0.5000  4 Al 3.12-3.37
I 0.7500 0.0751 0.7500  4 Al 3.12-3.37
I 0.2500 0.4249 0.2500  4 Al 3.12-3.37
I 0.5000 0.1749 0.0000  4 Al 3.12-3.37



Record 9
A plane-wave DFT calculation with PBE-GGA was carried out for an optimized crystal structure of AlI.

Values from the calculation:
Energy relative to the elements, uncorrected (eV per atom): 0.193

a b c (Å): 9.1133 9.1133 9.1133
angles (deg): 90.00 90.00 90.00
With the nearest neighbours (Å) after each atom.
Element x y z (fractional)
I 0.5000 0.7500 0.0000  4 Al 3.22
I 0.5000 0.2500 0.0000  4 Al 3.22
I 0.7500 0.0000 0.5000  4 Al 3.22
I 0.0000 0.5000 0.2500  4 Al 3.22
I 0.0000 0.5000 0.7500  4 Al 3.22
I 0.2500 0.0000 0.5000  4 Al 3.22
Al 0.0000 0.7500 0.5000  4 I 3.22
Al 0.5000 0.0000 0.7500  4 I 3.22
Al 0.0000 0.2500 0.5000  4 I 3.22
Al 0.2500 0.5000 0.0000  4 I 3.22
Al 0.7500 0.5000 0.0000  4 I 3.22
Al 0.5000 0.0000 0.2500  4 I 3.22



Record 10
A plane-wave DFT calculation with PBE-GGA was carried out for an optimized crystal structure of AlI.

Values from the calculation:
Energy relative to the elements, uncorrected (eV per atom): 0.200

a b c (Å): 7.5062 7.5062 7.5062
angles (deg): 90.00 90.00 90.00
With the nearest neighbours (Å) after each atom.
Element x y z (fractional)
Al 0.7500 0.2500 0.7500  4 I 3.25
Al 0.2500 0.2500 0.2500  4 I 3.25
Al 0.7500 0.7500 0.2500  4 I 3.25
Al 0.2500 0.7500 0.7500  4 I 3.25
I 0.5000 0.0000 0.5000  4 Al 3.25
I 0.5000 0.5000 0.0000  4 Al 3.25
I 0.0000 0.0000 0.0000  4 Al 3.25
I 0.0000 0.5000 0.5000  4 Al 3.25



Record 11
A plane-wave DFT calculation with PBE-GGA was carried out for an optimized crystal structure of AlI.

Values from the calculation:
Energy relative to the elements, uncorrected (eV per atom): 0.131

a b c (Å): 10.9754 10.9754 10.9754
angles (deg): 90.00 90.00 90.00
With the nearest neighbours (Å) after each atom.
Element x y z (fractional)
I 0.8615 0.8615 0.8615  3 Al 3.03
I 0.3615 0.6385 0.6385  3 Al 3.03
I 0.8615 0.1385 0.1385  3 Al 3.03
I 0.6385 0.6385 0.3615  3 Al 3.03
I 0.6385 0.3615 0.6385  3 Al 3.03
I 0.3615 0.3615 0.3615  3 Al 3.03
I 0.1385 0.1385 0.8615  3 Al 3.03
I 0.1385 0.8615 0.1385  3 Al 3.03
Al 0.1379 0.8621 0.8621  3 I 3.03
Al 0.8621 0.8621 0.1379  3 I 3.03
Al 0.1379 0.1379 0.1379  3 I 3.03
Al 0.3621 0.3621 0.6379  3 I 3.03
Al 0.6379 0.3621 0.3621  3 I 3.03
Al 0.3621 0.6379 0.3621  3 I 3.03
Al 0.6379 0.6379 0.6379  3 I 3.03
Al 0.8621 0.1379 0.8621  3 I 3.03



Record 12
A plane-wave DFT calculation with PBE-GGA was carried out for an optimized crystal structure of AlI3.

Values from the calculation:
Energy relative to the elements, uncorrected (eV per atom): -0.391

a b c (Å): 3.7299 7.9657 7.5647
angles (deg): 121.77 104.27 90.00
With the nearest neighbours (Å) after each atom.
Element x y z (fractional)
I 0.3500 0.7580 0.6999  2 Al 2.83
I 0.5000 0.3092 0.0000  2 Al 2.83
I 0.6500 0.0581 0.3001  2 Al 2.83
Al 0.0000 0.0412 0.0000  6 I 2.83



Question: energy relative to the elements, uncorrected of number 7 (AlI)?
Answer: -0.043 eV per atom



Question: What is the formula in the first record?
Answer: AlI3